The following is a DFT calculation (PBE) of crystalline Tb6Tm3Pu at its relaxed geometry.

The total energy comes out at -5.38 eV/atom. Its formation enthalpy at 0 K is 0.17 eV per atom. The spin magnetization is 6.4 Bohr magnetons per cell. The value obtained for the density of states at the Fermi level is 1.447 states/eV/atom.

Geometry as POSCAR:
```
Tb6Tm3Pu
1.0
8.5340 0.3803 4.2397
3.2658 8.3244 4.5299
2.2806 1.7899 6.1648
Tm Tb Pu
3 6 1
direct
0.7319 0.5621 0.0633
0.3999 0.4630 0.7998
0.0686 0.1568 0.5371
0.9002 0.6261 0.3000
0.4002 0.7889 0.8001
0.1548 0.3482 0.7317
0.1985 0.8415 0.4026
0.6452 0.0347 0.8684
0.6013 0.2432 0.1966
0.8996 0.9357 0.3004
```



The following is a DFT calculation (PBE) of crystalline Tb8Tm2Pu at its relaxed geometry.

The total energy comes out at -5.29 eV/atom. Its formation enthalpy at 0 K is 0.19 eV per atom. The spin magnetization is 5.8 Bohr magnetons per cell. The value obtained for the density of states at the Fermi level is 2.053 states/eV/atom.

Geometry as POSCAR:
```
Tb8Tm2Pu
1.0
-4.3022 -2.9733 2.0236
-0.2577 -4.8484 -8.7785
3.9810 -8.0499 -4.4707
Tb Pu Tm
8 1 2
direct
0.2623 0.6027 0.1335
0.7612 0.4539 0.4539
0.7624 0.8147 0.8147
0.2623 0.1335 0.6027
0.2376 0.1853 0.1853
0.2388 0.5461 0.5461
0.7377 0.8665 0.3973
0.7377 0.3973 0.8665
0.0000 0.0000 0.0000
0.7511 0.2837 0.2837
0.2489 0.7163 0.7163
```



The following is a DFT calculation (PBE) of crystalline Tb10Tm4Pu at its relaxed geometry.

The total energy comes out at -4.98 eV/atom. Its formation enthalpy at 0 K is 0.25 eV per atom. The spin magnetization is 7.0 Bohr magnetons per cell. The value obtained for the density of states at the Fermi level is 1.369 states/eV/atom.

Geometry as POSCAR:
```
Tb10Tm4Pu
1.0
6.9638 0.0000 3.1445
3.4819 7.9476 1.5722
0.2112 0.0000 8.8156
Tm Tb Pu
4 10 1
direct
0.2332 0.9999 0.5338
0.7668 0.0001 0.4662
0.7669 0.4662 0.9999
0.2331 0.5338 0.0001
0.0743 0.2100 0.2101
0.2500 0.5000 0.5000
0.2844 0.2101 0.7900
0.7156 0.7899 0.2100
0.5056 0.2100 0.2101
0.4944 0.7900 0.7899
0.2844 0.7899 0.2100
0.7156 0.2101 0.7900
0.7500 0.5000 0.5000
0.9257 0.7900 0.7899
0.0000 0.0000 0.0000
```



The following is a DFT calculation (PBE) of crystalline Tb2TmPu at its relaxed geometry.

The total energy comes out at -6.88 eV/atom. Its formation enthalpy at 0 K is 0.14 eV per atom. The spin magnetization is 6.2 Bohr magnetons per cell. The value obtained for the density of states at the Fermi level is 4.017 states/eV/atom.

Geometry as POSCAR:
```
Tb2TmPu
1.0
4.9449 0.0000 0.0000
0.0000 4.9531 0.0000
0.0000 0.0000 4.9531
Tm Pu Tb
1 1 2
direct
0.5000 0.0000 0.0000
0.5000 0.5000 0.5000
0.0000 0.5000 0.0000
0.0000 0.0000 0.5000
```